[1]
Compound: RbUCdCl6
Source: Alexandria via LeMat-Bulk
Functional: PBE
Structure: optimized geometry

Cell and atoms, written as POSCAR:
```
RbUCdCl6
1.0
-4.800 5.093 7.267
4.800 -5.093 7.267
4.800 5.093 -7.267
Rb U Cd Cl
2 2 2 12
direct
0.276 0.026 0.250 Rb
0.724 0.974 0.750 Rb
0.000 0.500 0.500 U
0.500 0.500 0.000 U
0.000 0.000 0.500 Cd
0.000 0.500 0.000 Cd
0.056 0.401 0.226 Cl
0.056 0.830 0.655 Cl
0.057 0.807 0.250 Cl
0.325 0.170 0.726 Cl
0.325 0.575 0.750 Cl
0.325 0.599 0.155 Cl
0.675 0.401 0.845 Cl
0.675 0.425 0.250 Cl
0.675 0.830 0.274 Cl
0.943 0.193 0.750 Cl
0.944 0.170 0.345 Cl
0.944 0.599 0.774 Cl
```

Summary:
ΔE_f (raw) ... -1.497 eV/atom
Magnetic moment ... 2.98 μB per formula unit

[2]
Compound: RbVCdCl6
Source: Alexandria via LeMat-Bulk
Functional: PBE
Structure: optimized geometry

Cell and atoms, written as POSCAR:
```
RbVCdCl6
1.0
6.669 0.000 0.000
-3.335 5.776 0.000
0.000 0.000 7.236
Rb V Cd Cl
1 1 1 6
direct
0.000 0.000 0.000 Rb
0.333 0.667 0.500 V
0.667 0.333 0.500 Cd
0.030 0.388 0.694 Cl
0.030 0.642 0.306 Cl
0.358 0.388 0.306 Cl
0.358 0.970 0.694 Cl
0.612 0.642 0.694 Cl
0.612 0.970 0.306 Cl
```

Summary:
ΔE_f (raw) ... -1.358 eV/atom
Magnetic moment ... 2.00 μB per formula unit

[3]
Compound: Rb2VCdCl6
Source: Alexandria via LeMat-Bulk
Functional: PBE
Structure: optimized geometry

Cell and atoms, written as POSCAR:
```
Rb2VCdCl6
1.0
0.000 5.144 5.144
5.144 0.000 5.144
5.144 5.144 0.000
Rb V Cd Cl
2 1 1 6
direct
0.250 0.250 0.250 Rb
0.750 0.750 0.750 Rb
0.000 0.000 0.000 V
0.500 0.500 0.500 Cd
0.243 0.243 0.757 Cl
0.243 0.757 0.243 Cl
0.243 0.757 0.757 Cl
0.757 0.243 0.243 Cl
0.757 0.243 0.757 Cl
0.757 0.757 0.243 Cl
```

Summary:
ΔE_f (raw) ... -1.437 eV/atom
Magnetic moment ... 3.00 μB per formula unit

[4]
Compound: RbYCd2Cl8
Source: Alexandria via LeMat-Bulk
Functional: PBE
Structure: optimized geometry

Cell and atoms, written as POSCAR:
```
RbYCd2Cl8
1.0
6.604 0.000 0.000
1.281 6.492 0.000
1.751 1.566 8.938
Rb Y Cd Cl
1 1 2 8
direct
0.000 0.000 0.000 Rb
0.000 0.000 0.500 Y
0.452 0.445 0.220 Cd
0.548 0.555 0.780 Cd
0.177 0.739 0.719 Cl
0.239 0.801 0.289 Cl
0.279 0.250 0.469 Cl
0.346 0.314 0.010 Cl
0.654 0.686 0.990 Cl
0.721 0.750 0.531 Cl
0.761 0.199 0.711 Cl
0.823 0.261 0.281 Cl
```

Summary:
ΔE_f (raw) ... -1.602 eV/atom
Magnetic moment ... 0.00 μB per formula unit

[5]
Compound: Rb2YCdCl6
Source: Alexandria via LeMat-Bulk
Functional: PBE
Structure: optimized geometry

Cell and atoms, written as POSCAR:
```
Rb2YCdCl6
1.0
0.000 5.550 5.550
5.550 0.000 5.550
5.550 5.550 0.000
Rb Y Cd Cl
2 1 1 6
direct
0.250 0.250 0.250 Rb
0.750 0.750 0.750 Rb
0.000 0.000 0.000 Y
0.500 0.500 0.500 Cd
0.238 0.238 0.762 Cl
0.238 0.762 0.238 Cl
0.238 0.762 0.762 Cl
0.762 0.238 0.238 Cl
0.762 0.238 0.762 Cl
0.762 0.762 0.238 Cl
```

Summary:
E above lowest polymorph ... 0.004 eV/atom
ΔE_f (raw) ... -1.765 eV/atom
Magnetic moment ... 0.97 μB per formula unit

[6]
Compound: RbYCdCl6
Source: Alexandria via LeMat-Bulk
Functional: PBE
Structure: optimized geometry

Cell and atoms, written as POSCAR:
```
RbYCdCl6
1.0
6.976 0.000 0.000
-3.488 6.041 0.000
0.000 0.000 14.516
Rb Y Cd Cl
2 2 2 12
direct
0.000 0.000 0.000 Rb
0.000 0.000 0.500 Rb
0.333 0.667 0.250 Y
0.667 0.333 0.750 Y
0.333 0.667 0.750 Cd
0.667 0.333 0.250 Cd
0.001 0.378 0.145 Cl
0.001 0.623 0.355 Cl
0.377 0.378 0.355 Cl
0.377 0.999 0.145 Cl
0.378 0.001 0.645 Cl
0.378 0.377 0.855 Cl
0.622 0.623 0.145 Cl
0.622 0.999 0.355 Cl
0.623 0.001 0.855 Cl
0.623 0.622 0.645 Cl
0.999 0.377 0.645 Cl
0.999 0.622 0.855 Cl
```

Summary:
ΔE_f (raw) ... -1.848 eV/atom
Magnetic moment ... 0.00 μB per formula unit

| no. | density of states at the Fermi level (states/eV per atom) |
| --- | --- |
| 1 | 0.8672 |
| 2 | 1.0507 |
| 3 | 0.8609 |
| 4 | 0.0000 |
| 5 | 0.0950 |
| 6 | 0.0000 |